Computed, not measured: an optimized crystal structure of CuWF2 at the GGA+U level of DFT.

The energy above the most stable polymorph in this dataset is 1.24 kcal/mol of atoms. As for the calculated volume: 270.9 Å³/cell.

The structure belongs to space group I-42d (No. 122); the cell edges are 7.173, 7.173 and 5.265 Å and the angles 90.00°, 90.00° and 90.00°. Symmetry generates all atoms from Cu at (0.000, 0.000, 0.000), W at (0.000, 0.000, 0.500) and F at (0.144, 0.750, 0.625).